# 1
# ZrBeMo2 | the Alexandria database | GGA-PBE | relaxed
# Total moment   0.00 μB per atom
# Energy relative to the elements   12 kJ per mole of atoms
# Electronic total energy   -8.355 eV/atom
data_ZrBeMo2
_cell_length_a 3.274
_cell_length_b 4.047
_cell_length_c 5.133
_cell_angle_alpha 90.00
_cell_angle_beta 105.99
_cell_angle_gamma 90.00
_symmetry_space_group_name_H-M 'P 1 m 1'
_symmetry_Int_Tables_number 6
loop_
_symmetry_equiv_pos_as_xyz
'x,y,z'
'x,-y,z'
loop_
_atom_site_label
_atom_site_type_symbol
_atom_site_fract_x
_atom_site_fract_y
_atom_site_fract_z
Zr1 Zr 0.000 0.000 0.000
Be1 Be 0.560 0.500 0.157
Mo1 Mo 0.233 0.500 0.570
Mo2 Mo 0.676 0.000 0.471

---

# 2
# Zr2BeMo | the Alexandria database | GGA-PBE | relaxed
# Total moment   0.00 μB per atom
# Energy relative to the elements   5 kJ per mole of atoms
# Electronic total energy   -7.866 eV/atom
data_Zr2BeMo
_cell_length_a 3.307
_cell_length_b 3.307
_cell_length_c 6.405
_cell_angle_alpha 90.00
_cell_angle_beta 90.00
_cell_angle_gamma 90.00
_symmetry_space_group_name_H-M 'P 4 m m'
_symmetry_Int_Tables_number 99
loop_
_symmetry_equiv_pos_as_xyz
'x,y,z'
'-y,x,z'
'-x,-y,z'
'y,-x,z'
'-x,y,z'
'y,x,z'
'x,-y,z'
'-y,-x,z'
loop_
_atom_site_label
_atom_site_type_symbol
_atom_site_fract_x
_atom_site_fract_y
_atom_site_fract_z
Zr1 Zr 0.000 0.000 0.000
Zr2 Zr 0.500 0.500 0.330
Be1 Be 0.000 0.000 0.573
Mo1 Mo 0.500 0.500 0.730

---

# 3
# ZrBeMo2 | the Alexandria database | GGA-PBE | relaxed
# Total moment   0.00 μB per atom
# Energy relative to the elements   43 kJ per mole of atoms
# Electronic total energy   -8.042 eV/atom
data_ZrBeMo2
_cell_length_a 2.8397
_cell_length_b 2.8397
_cell_length_c 27.6306
_cell_angle_alpha 90.00
_cell_angle_beta 90.00
_cell_angle_gamma 120.00
_symmetry_space_group_name_H-M 'R -3 m'
_symmetry_Int_Tables_number 166
_symmetry_space_group_name_Hall '-R 3 2"'
loop_
_atom_site_label
_atom_site_type_symbol
_atom_site_fract_x
_atom_site_fract_y
_atom_site_fract_z
Zr1 Zr 0.0000 0.0000 0.0000
Be1 Be 0.0000 0.0000 0.5000
Mo1 Mo 0.0000 0.0000 0.2378

---

# 4
# Zr2BeMo | the Alexandria database | GGA-PBE | relaxed
# Total moment   0.00 μB per atom
# Energy relative to the elements   9 kJ per mole of atoms
# Electronic total energy   -7.825 eV/atom
data_Zr2BeMo
_cell_length_a 3.493
_cell_length_b 4.415
_cell_length_c 9.177
_cell_angle_alpha 90.00
_cell_angle_beta 90.00
_cell_angle_gamma 90.00
_symmetry_space_group_name_H-M 'I m m 2'
_symmetry_Int_Tables_number 44
loop_
_symmetry_equiv_pos_as_xyz
'x,y,z'
'-x,-y,z'
'-x,y,z'
'x,-y,z'
'x+1/2,y+1/2,z+1/2'
'-x+1/2,-y+1/2,z+1/2'
'-x+1/2,y+1/2,z+1/2'
'x+1/2,-y+1/2,z+1/2'
loop_
_atom_site_label
_atom_site_type_symbol
_atom_site_fract_x
_atom_site_fract_y
_atom_site_fract_z
Zr1 Zr 0.000 0.000 0.000
Zr2 Zr 0.000 0.500 0.227
Be1 Be 0.000 0.500 0.758
Mo1 Mo 0.000 0.000 0.454

---

# 5
# ZrBeMo | the Alexandria database | GGA-PBE | relaxed
# Total moment   0.00 μB per atom
# Energy relative to the elements   4 kJ per mole of atoms
# Energy above the lowest structure with this stoichiometry   125 meV per atom
# Electronic total energy   -7.659 eV/atom
data_ZrBeMo
_cell_length_a 3.315
_cell_length_b 3.315
_cell_length_c 8.594
_cell_angle_alpha 90.00
_cell_angle_beta 90.00
_cell_angle_gamma 90.00
_symmetry_space_group_name_H-M 'I 4 m m'
_symmetry_Int_Tables_number 107
_symmetry_space_group_name_Hall 'I 4 -2'
loop_
_atom_site_label
_atom_site_type_symbol
_atom_site_fract_x
_atom_site_fract_y
_atom_site_fract_z
Zr1 Zr 0.000 0.000 0.000
Be1 Be 0.000 0.000 0.688
Mo1 Mo 0.000 0.000 0.306

---

# 6
# ZrBe9Mo2 | the Alexandria database | GGA-PBE | relaxed
# Total moment   0.00 μB per atom
# Energy relative to the elements   -29 kJ per mole of atoms
# Energy above the lowest structure with this stoichiometry   0 meV per atom
# Electronic total energy   -5.612 eV/atom
data_ZrBe9Mo2
_cell_length_a 4.4984
_cell_length_b 4.4984
_cell_length_c 21.2018
_cell_angle_alpha 90.00
_cell_angle_beta 90.00
_cell_angle_gamma 120.00
_symmetry_space_group_name_H-M 'R -3 m'
_symmetry_Int_Tables_number 166
_symmetry_space_group_name_Hall '-R 3 2"'
loop_
_atom_site_label
_atom_site_type_symbol
_atom_site_fract_x
_atom_site_fract_y
_atom_site_fract_z
Zr1 Zr 0.0000 0.0000 0.0000
Be1 Be 0.0000 0.0000 0.3339
Be2 Be 0.0000 0.0000 0.5000
Be3 Be 0.0041 0.5020 0.9157
Mo1 Mo 0.0000 0.0000 0.1442